No. 1
Here is ThNpTc4 after structural relaxation from Alexandria via LeMat-Bulk. Energies are from PBE.

```
ThNpTc4
1.0
-2.1723 0.9533 -4.8695
-1.4608 -4.1409 -3.1716
-5.2470 -1.0236 -0.8723
Tc Th Np
4 1 1
Direct
0.6253 0.6253 0.1242
0.6253 0.6253 0.6253
0.1242 0.6253 0.6253
0.6253 0.1242 0.6253
0.2500 0.2500 0.2500
0.0000 0.0000 0.0000
```

For the formation energy from the elements, the calculation gives 0.058 eV per atom. As for the mass density: 12.72 g/cm3. As for the total energy: -61.48 eV for the cell shown.

---

No. 2
Here is Th2NpUTc6 after structural relaxation from Alexandria via LeMat-Bulk. Energies are from PBE.

```
Th2NpUTc6
1.0
-2.7457 0.1799 -5.8634
-6.4327 -0.4845 -0.5799
-4.0117 11.5802 -1.3435
Np Tc U Th
2 12 2 4
Direct
0.4314 0.4314 0.7057
0.5686 0.5686 0.2943
0.2511 0.7955 0.1579
0.2045 0.7489 0.8421
0.9716 0.3547 0.3190
0.6453 0.6453 0.6810
0.6453 0.0284 0.6810
0.7955 0.2511 0.1579
0.0284 0.6453 0.6810
0.3547 0.9716 0.3190
0.2045 0.2045 0.8421
0.3547 0.3547 0.3190
0.7489 0.2045 0.8421
0.7955 0.7955 0.1579
0.5000 0.5000 0.5000
0.0000 0.0000 0.0000
0.6862 0.6862 0.9415
0.1312 0.1312 0.6065
0.3138 0.3138 0.0585
0.8688 0.8688 0.3935
```

For the formation energy from the elements, the calculation gives 0.231 eV per atom. As for the mass density: 11.88 g/cm3. As for the total energy: -197.91 eV for the cell shown.

---

No. 3
Here is NpTi2Tc after structural relaxation from Alexandria via LeMat-Bulk. Energies are from PBE.

```
NpTi2Tc
1.0
3.1384 0.0000 0.0000
0.0000 4.6202 0.0000
0.0000 0.0000 4.6202
Tc Np Ti
1 1 2
Direct
0.5000 0.0000 0.0000
0.5000 0.5000 0.5000
0.0000 0.0000 0.5000
0.0000 0.5000 0.0000
```

For the energy above the most stable polymorph in this dataset, the calculation gives 0.186 eV per atom. For the formation energy from the elements, the calculation gives 0.125 eV per atom. As for the mass density: 10.68 g/cm3. As for the total energy: -38.60 eV for the cell shown.